Entry 1:
# PrZn2Pd3 (GGA-PBE, optimized geometry)
# calculated formation energy: -0.600 eV per atom
# N(E_F): 8.95 states/eV per cell
data_PrZn2Pd3
_cell_length_a 9.778
_cell_length_b 8.669
_cell_length_c 5.363
_cell_angle_alpha 90.00
_cell_angle_beta 90.00
_cell_angle_gamma 90.00
_symmetry_space_group_name_H-M 'C m c m'
_symmetry_Int_Tables_number 63
_symmetry_space_group_name_Hall '-C 2c 2'
loop_
_atom_site_label
_atom_site_type_symbol
_atom_site_fract_x
_atom_site_fract_y
_atom_site_fract_z
_atom_site_occupancy
Pr1 Pr 0.000 0.203 0.250 1
Zn1 Zn 0.228 0.500 0.000 1
Pd1 Pd 0.000 0.462 0.750 1
Pd2 Pd 0.184 0.229 0.750 1


Entry 2:
# PrZn2Pd2 (GGA-PBE, optimized geometry)
# energy above the most stable polymorph in this dataset: 0.016 eV/f.u.
# calculated formation energy: -0.606 eV per atom
# N(E_F): 13.29 states/eV per cell
data_PrZn2Pd2
_cell_length_a 4.237
_cell_length_b 4.237
_cell_length_c 21.678
_cell_angle_alpha 90.00
_cell_angle_beta 90.00
_cell_angle_gamma 90.00
_symmetry_space_group_name_H-M 'I 4/m m m'
_symmetry_Int_Tables_number 139
_symmetry_space_group_name_Hall '-I 4 2'
loop_
_atom_site_label
_atom_site_type_symbol
_atom_site_fract_x
_atom_site_fract_y
_atom_site_fract_z
_atom_site_occupancy
Pr1 Pr 0.000 0.000 0.128 1
Zn1 Zn 0.000 0.000 0.316 1
Zn2 Zn 0.000 0.500 0.000 1
Pd1 Pd 0.000 0.000 0.432 1
Pd2 Pd 0.000 0.500 0.250 1


Entry 3:
# Pr2Zn2Pd (GGA-PBE, optimized geometry)
# calculated formation energy: -0.500 eV per atom
# N(E_F): 14.15 states/eV per cell
data_Pr2Zn2Pd
_cell_length_a 10.376
_cell_length_b 4.578
_cell_length_c 10.908
_cell_angle_alpha 90.00
_cell_angle_beta 114.95
_cell_angle_gamma 90.00
_symmetry_space_group_name_H-M 'C 1 2/m 1'
_symmetry_Int_Tables_number 12
_symmetry_space_group_name_Hall '-C 2y'
loop_
_atom_site_label
_atom_site_type_symbol
_atom_site_fract_x
_atom_site_fract_y
_atom_site_fract_z
_atom_site_occupancy
Pr1 Pr 0.013 0.000 0.336 1
Pr2 Pr 0.196 0.000 0.114 1
Zn1 Zn 0.010 0.500 0.886 1
Zn2 Zn 0.147 0.500 0.558 1
Pd1 Pd 0.225 0.500 0.341 1


Entry 4:
# PrZn4Pd4 (GGA-PBE, optimized geometry)
# calculated formation energy: -0.431 eV per atom
# N(E_F): 8.41 states/eV per cell
data_PrZn4Pd4
_cell_length_a 8.273
_cell_length_b 8.273
_cell_length_c 4.759
_cell_angle_alpha 90.00
_cell_angle_beta 90.00
_cell_angle_gamma 90.00
_symmetry_space_group_name_H-M 'P 42/n'
_symmetry_Int_Tables_number 86
loop_
_symmetry_equiv_pos_as_xyz
'x,y,z'
'-x,-y,-z'
'-y,x+1/2,z+1/2'
'y,-x+1/2,-z+1/2'
'-x+1/2,-y+1/2,z'
'x+1/2,y+1/2,-z'
'y+1/2,-x,z+1/2'
'-y+1/2,x,-z+1/2'
loop_
_atom_site_label
_atom_site_type_symbol
_atom_site_fract_x
_atom_site_fract_y
_atom_site_fract_z
_atom_site_occupancy
Pr1 Pr 0.250 0.250 0.250 1
Zn1 Zn 0.006 0.885 0.246 1
Pd1 Pd 0.112 0.837 0.745 1


Entry 5:
# Pr5ZnPd2 (GGA-PBE, optimized geometry)
# calculated formation energy: -0.429 eV per atom
# N(E_F): 31.64 states/eV per cell
data_Pr5ZnPd2
_cell_length_a 8.175
_cell_length_b 8.175
_cell_length_c 13.368
_cell_angle_alpha 90.00
_cell_angle_beta 90.00
_cell_angle_gamma 90.00
_symmetry_space_group_name_H-M 'I 4/m c m'
_symmetry_Int_Tables_number 140
_symmetry_space_group_name_Hall '-I 4 2c'
loop_
_atom_site_label
_atom_site_type_symbol
_atom_site_fract_x
_atom_site_fract_y
_atom_site_fract_z
_atom_site_occupancy
Pr1 Pr 0.000 0.000 0.000 1
Pr2 Pr 0.162 0.338 0.144 1
Zn1 Zn 0.000 0.000 0.250 1
Pd1 Pd 0.127 0.373 0.500 1


Entry 6:
# PrZn4Pd8 (GGA-PBE, optimized geometry)
# calculated formation energy: -0.554 eV per atom
# N(E_F): 11.47 states/eV per cell
data_PrZn4Pd8
_cell_length_a 8.898
_cell_length_b 8.898
_cell_length_c 5.321
_cell_angle_alpha 90.00
_cell_angle_beta 90.00
_cell_angle_gamma 90.00
_symmetry_space_group_name_H-M 'I 4/m m m'
_symmetry_Int_Tables_number 139
_symmetry_space_group_name_Hall '-I 4 2'
loop_
_atom_site_label
_atom_site_type_symbol
_atom_site_fract_x
_atom_site_fract_y
_atom_site_fract_z
_atom_site_occupancy
Pr1 Pr 0.000 0.000 0.000 1
Zn1 Zn 0.250 0.250 0.250 1
Pd1 Pd 0.000 0.224 0.500 1
Pd2 Pd 0.000 0.343 0.000 1


Entry 7:
# PrZn4Pd (GGA-PBE, optimized geometry)
# energy above the most stable polymorph in this dataset: 0.162 eV/f.u.
# calculated formation energy: -0.308 eV per atom
# N(E_F): 11.60 states/eV per cell
data_PrZn4Pd
_cell_length_a 4.776
_cell_length_b 14.070
_cell_length_c 6.821
_cell_angle_alpha 90.00
_cell_angle_beta 90.00
_cell_angle_gamma 90.00
_symmetry_space_group_name_H-M 'C m c m'
_symmetry_Int_Tables_number 63
_symmetry_space_group_name_Hall '-C 2c 2'
loop_
_atom_site_label
_atom_site_type_symbol
_atom_site_fract_x
_atom_site_fract_y
_atom_site_fract_z
_atom_site_occupancy
Pr1 Pr 0.000 0.111 0.250 1
Zn1 Zn 0.000 0.099 0.750 1
Zn2 Zn 0.000 0.273 0.573 1
Zn3 Zn 0.000 0.500 0.000 1
Pd1 Pd 0.000 0.361 0.250 1


Entry 8:
# Pr6Zn5Pd (GGA-PBE, optimized geometry)
# calculated formation energy: -0.365 eV per atom
# N(E_F): 12.10 states/eV per cell
data_Pr6Zn5Pd
_cell_length_a 5.254
_cell_length_b 7.369
_cell_length_c 8.302
_cell_angle_alpha 90.00
_cell_angle_beta 108.38
_cell_angle_gamma 90.00
_symmetry_space_group_name_H-M 'P 1 2/m 1'
_symmetry_Int_Tables_number 10
_symmetry_space_group_name_Hall '-P 2y'
loop_
_atom_site_label
_atom_site_type_symbol
_atom_site_fract_x
_atom_site_fract_y
_atom_site_fract_z
_atom_site_occupancy
Pr1 Pr 0.000 0.247 0.000 1
Pr2 Pr 0.335 0.251 0.670 1
Zn1 Zn 0.169 0.500 0.338 1
Zn2 Zn 0.173 0.000 0.348 1
Zn3 Zn 0.500 0.500 0.000 1
Pd1 Pd 0.500 0.000 0.000 1


Entry 9:
# Pr4Zn5Pd2 (GGA-PBE, optimized geometry)
# calculated formation energy: -0.424 eV per atom
# N(E_F): 7.46 states/eV per cell
data_Pr4Zn5Pd2
_cell_length_a 7.214
_cell_length_b 3.908
_cell_length_c 9.247
_cell_angle_alpha 90.00
_cell_angle_beta 94.10
_cell_angle_gamma 90.00
_symmetry_space_group_name_H-M 'P 1 2/m 1'
_symmetry_Int_Tables_number 10
_symmetry_space_group_name_Hall '-P 2y'
loop_
_atom_site_label
_atom_site_type_symbol
_atom_site_fract_x
_atom_site_fract_y
_atom_site_fract_z
_atom_site_occupancy
Pr1 Pr 0.178 0.000 0.373 1
Pr2 Pr 0.254 0.000 0.937 1
Zn1 Zn 0.200 0.500 0.657 1
Zn2 Zn 0.446 0.500 0.205 1
Zn3 Zn 0.500 0.500 0.500 1
Pd1 Pd 0.070 0.500 0.144 1


Entry 10:
# Pr2Zn2Pd3 (GGA-PBE, optimized geometry)
# energy above the most stable polymorph in this dataset: 0.232 eV/f.u.
# calculated formation energy: -0.642 eV per atom
# N(E_F): 8.11 states/eV per cell
data_Pr2Zn2Pd3
_cell_length_a 10.618
_cell_length_b 4.047
_cell_length_c 7.138
_cell_angle_alpha 90.00
_cell_angle_beta 111.00
_cell_angle_gamma 90.00
_symmetry_space_group_name_H-M 'C 1 2/m 1'
_symmetry_Int_Tables_number 12
_symmetry_space_group_name_Hall '-C 2y'
loop_
_atom_site_label
_atom_site_type_symbol
_atom_site_fract_x
_atom_site_fract_y
_atom_site_fract_z
_atom_site_occupancy
Pr1 Pr 0.127 0.000 0.257 1
Zn1 Zn 0.152 0.000 0.720 1
Pd1 Pd 0.000 0.500 0.500 1
Pd2 Pd 0.126 0.500 0.938 1


Entry 11:
# PrZn9Pd2 (GGA-PBE, optimized geometry)
# energy above the most stable polymorph in this dataset: 0.000 eV/f.u.
# calculated formation energy: -0.379 eV per atom
# N(E_F): 24.85 states/eV per cell
data_PrZn9Pd2
_cell_length_a 10.647
_cell_length_b 10.647
_cell_length_c 6.954
_cell_angle_alpha 90.00
_cell_angle_beta 90.00
_cell_angle_gamma 90.00
_symmetry_space_group_name_H-M 'I 41/a m d'
_symmetry_Int_Tables_number 141
loop_
_symmetry_equiv_pos_as_xyz
'x,y,z'
'-x,-y,-z'
'-y+1/4,x+3/4,z+1/4'
'y+1/4,-x+3/4,-z+1/4'
'-x+1/2,-y,z+1/2'
'x+1/2,y,-z+1/2'
'y+1/4,-x+1/4,z+3/4'
'-y+1/4,x+1/4,-z+3/4'
'x,-y,-z'
'-x,y,z'
'-y+1/4,-x+1/4,-z+3/4'
'y+1/4,x+1/4,z+3/4'
'-x+1/2,y,-z+1/2'
'x+1/2,-y,z+1/2'
'y+1/4,x+3/4,-z+1/4'
'-y+1/4,-x+3/4,z+1/4'
'x+1/2,y+1/2,z+1/2'
'-x+1/2,-y+1/2,-z+1/2'
'-y+3/4,x+1/4,z+3/4'
'y+3/4,-x+1/4,-z+3/4'
'-x,-y+1/2,z'
'x,y+1/2,-z'
'y+3/4,-x+3/4,z+1/4'
'-y+3/4,x+3/4,-z+1/4'
'x+1/2,-y+1/2,-z+1/2'
'-x+1/2,y+1/2,z+1/2'
'-y+3/4,-x+3/4,-z+1/4'
'y+3/4,x+3/4,z+1/4'
'-x,y+1/2,-z'
'x,-y+1/2,z'
'y+3/4,x+1/4,-z+3/4'
'-y+3/4,-x+1/4,z+3/4'
loop_
_atom_site_label
_atom_site_type_symbol
_atom_site_fract_x
_atom_site_fract_y
_atom_site_fract_z
_atom_site_occupancy
Pr1 Pr 0.000 0.250 0.375 1
Zn1 Zn 0.000 0.250 0.875 1
Zn2 Zn 0.122 0.044 0.678 1
Pd1 Pd 0.000 0.000 0.000 1


Entry 12:
# PrZn3Pd3 (GGA-PBE, optimized geometry)
# energy above the most stable polymorph in this dataset: 7.500 eV/f.u.
# calculated formation energy: 0.591 eV per atom
# N(E_F): 61.75 states/eV per cell
data_PrZn3Pd3
_cell_length_a 11.755
_cell_length_b 11.755
_cell_length_c 11.755
_cell_angle_alpha 90.00
_cell_angle_beta 90.00
_cell_angle_gamma 90.00
_symmetry_space_group_name_H-M 'F m -3 m'
_symmetry_Int_Tables_number 225
_symmetry_space_group_name_Hall '-F 4 2 3'
loop_
_atom_site_label
_atom_site_type_symbol
_atom_site_fract_x
_atom_site_fract_y
_atom_site_fract_z
_atom_site_occupancy
Pr1 Pr 0.250 0.250 0.250 1
Zn1 Zn 0.000 0.000 0.149 1
Pd1 Pd 0.000 0.000 0.342 1